Entry one
# ScFeSbI2, relaxed, DFT PBE-GGA
data_ScFeSbI2
_chemical_formula_sum 'Sc1 Fe1 Sb1 I2'
_symmetry_space_group_name_H-M 'P 4/m m m'
_symmetry_Int_Tables_number 123
_symmetry_space_group_name_Hall '-P 4 2'
_cell_length_a 5.208
_cell_length_b 5.208
_cell_length_c 5.219
_cell_angle_alpha 90.00
_cell_angle_beta 90.00
_cell_angle_gamma 90.00
loop_
_atom_site_label
_atom_site_fract_x
_atom_site_fract_y
_atom_site_fract_z
Sc1 0.000 0.000 0.000
Fe1 0.500 0.500 0.500
Sb1 0.500 0.500 0.000
I1 0.000 0.500 0.500
# DOS at the Fermi energy: 7.221 states/eV per cell
# crystal system: tetragonal

=====

Entry two
# ScFeSbI2, relaxed, DFT PBE-GGA
data_ScFeSbI2
_chemical_formula_sum 'Sc1 Fe1 Sb1 I2'
_symmetry_space_group_name_H-M 'P 4/m m m'
_symmetry_Int_Tables_number 123
_symmetry_space_group_name_Hall '-P 4 2'
_cell_length_a 5.572
_cell_length_b 5.572
_cell_length_c 5.836
_cell_angle_alpha 90.00
_cell_angle_beta 90.00
_cell_angle_gamma 90.00
loop_
_atom_site_label
_atom_site_fract_x
_atom_site_fract_y
_atom_site_fract_z
Sc1 0.000 0.000 0.000
Fe1 0.500 0.500 0.500
Sb1 0.000 0.000 0.500
I1 0.000 0.500 0.000
# DOS at the Fermi energy: 7.055 states/eV per cell
# crystal system: tetragonal

=====

Stability check: which of them is least stable? entry two.

=====

Entry one
# TaFeSbI2, relaxed, DFT PBE-GGA
data_TaFeSbI2
_chemical_formula_sum 'Ta1 Fe1 Sb1 I2'
_symmetry_space_group_name_H-M 'P 4/m m m'
_symmetry_Int_Tables_number 123
_symmetry_space_group_name_Hall '-P 4 2'
_cell_length_a 5.489
_cell_length_b 5.489
_cell_length_c 5.511
_cell_angle_alpha 90.00
_cell_angle_beta 90.00
_cell_angle_gamma 90.00
loop_
_atom_site_label
_atom_site_fract_x
_atom_site_fract_y
_atom_site_fract_z
Ta1 0.000 0.000 0.000
Fe1 0.500 0.500 0.500
Sb1 0.000 0.000 0.500
I1 0.000 0.500 0.000
# DOS at the Fermi energy: 7.797 states/eV per cell
# crystal system: tetragonal

=====

Entry two
# TaFeSbI2, relaxed, DFT PBE-GGA
data_TaFeSbI2
_chemical_formula_sum 'Ta1 Fe1 Sb1 I2'
_symmetry_space_group_name_H-M 'P 4/m m m'
_symmetry_Int_Tables_number 123
_symmetry_space_group_name_Hall '-P 4 2'
_cell_length_a 4.990
_cell_length_b 4.990
_cell_length_c 4.975
_cell_angle_alpha 90.00
_cell_angle_beta 90.00
_cell_angle_gamma 90.00
loop_
_atom_site_label
_atom_site_fract_x
_atom_site_fract_y
_atom_site_fract_z
Ta1 0.000 0.000 0.000
Fe1 0.500 0.500 0.500
Sb1 0.500 0.500 0.000
I1 0.000 0.500 0.500
# DOS at the Fermi energy: 8.230 states/eV per cell
# crystal system: tetragonal

=====

Stability check: which of them is least stable? entry two.

=====

Entry one
# FeTcSb2I, relaxed, DFT PBE-GGA
data_FeTcSb2I
_chemical_formula_sum 'Fe1 Tc1 Sb2 I1'
_symmetry_space_group_name_H-M 'P 4/m m m'
_symmetry_Int_Tables_number 123
_symmetry_space_group_name_Hall '-P 4 2'
_cell_length_a 5.050
_cell_length_b 5.050
_cell_length_c 5.852
_cell_angle_alpha 90.00
_cell_angle_beta 90.00
_cell_angle_gamma 90.00
loop_
_atom_site_label
_atom_site_fract_x
_atom_site_fract_y
_atom_site_fract_z
Fe1 0.000 0.000 0.000
Tc1 0.500 0.500 0.500
Sb1 0.000 0.500 0.500
I1 0.500 0.500 0.000
# DOS at the Fermi energy: 4.791 states/eV per cell
# crystal system: tetragonal

=====

Entry two
# FeTcSb2I, relaxed, DFT PBE-GGA
data_FeTcSb2I
_chemical_formula_sum 'Fe1 Tc1 Sb2 I1'
_symmetry_space_group_name_H-M 'P 4/m m m'
_symmetry_Int_Tables_number 123
_symmetry_space_group_name_Hall '-P 4 2'
_cell_length_a 4.895
_cell_length_b 4.895
_cell_length_c 5.466
_cell_angle_alpha 90.00
_cell_angle_beta 90.00
_cell_angle_gamma 90.00
loop_
_atom_site_label
_atom_site_fract_x
_atom_site_fract_y
_atom_site_fract_z
Fe1 0.000 0.000 0.000
Tc1 0.500 0.500 0.500
Sb1 0.000 0.500 0.000
I1 0.000 0.000 0.500
# DOS at the Fermi energy: 5.627 states/eV per cell
# crystal system: tetragonal

=====

Stability check: which of them is least stable? entry two.